# 1
DFT (PBE) results for crystalline LiMgHg6 at its relaxed geometry.

Results
- DOS at the Fermi energy (states/eV/cell) = 3.2
- calculated volume (Å³/atom) = 22.96
- total magnetization (Bohr magnetons per cell) = 0.0
- calculated formation energy (meV per atom) = -116

Cell: 4.5415 4.5415 8.9066 Å, 90.00 90.00 90.00°
Space group P4/mmm (No. 123)
Symmetry-distinct sites (fractional):
Li1 0.0000 0.0000 0.0000
Mg1 0.0000 0.0000 0.5000
Hg1 0.0000 0.5000 0.2450
Hg2 0.5000 0.5000 0.0000
Hg3 0.5000 0.5000 0.5000



# 2
DFT (PBE) results for crystalline Hf2AlC at its relaxed geometry.

Results
- DOS at the Fermi energy (states/eV/cell) = 9.6
- calculated volume (Å³/atom) = 17.39
- total magnetization (Bohr magnetons per cell) = 0.0
- calculated formation energy (meV per atom) = -26

Cell: 6.6887 6.6887 6.2176 Å, 90.00 90.00 90.00°
Space group I-42d (No. 122)
Symmetry-distinct sites (fractional):
Hf1 0.1794 0.2500 0.1250
Al1 0.0000 0.0000 0.5000
C1 0.0000 0.0000 0.0000



# 3
DFT (PBE) results for crystalline Dy5Sn at its relaxed geometry.

Results
- DOS at the Fermi energy (states/eV/cell) = 12.7
- calculated volume (Å³/atom) = 29.25
- total magnetization (Bohr magnetons per cell) = 0.0
- calculated formation energy (meV per atom) = -268

Cell: 4.8308 14.9421 4.8630 Å, 90.00 90.00 90.00°
Space group Cmmm (No. 65)
Symmetry-distinct sites (fractional):
Dy1 0.0000 0.0000 0.0000
Dy2 0.0000 0.1618 0.5000
Dy3 0.0000 0.3332 0.0000
Sn1 0.0000 0.5000 0.5000



# 4
DFT (PBE) results for crystalline LaPbCl2 at its relaxed geometry.

Results
- DOS at the Fermi energy (states/eV/cell) = 4.8
- calculated volume (Å³/atom) = 26.64
- total magnetization (Bohr magnetons per cell) = 0.0
- energy relative to the lowest polymorph listed for this composition (eV/atom) = 0.2246

Cell: 4.7817 4.7817 9.3195 Å, 90.00 90.00 90.00°
Space group I4/mmm (No. 139)
Symmetry-distinct sites (fractional):
La1 0.0000 0.0000 0.0000
Pb1 0.0000 0.0000 0.5000
Cl1 0.0000 0.5000 0.2500



# 5
DFT (PBE) results for crystalline CaYPb2 at its relaxed geometry.

Results
- DOS at the Fermi energy (states/eV/cell) = 3.2
- calculated volume (Å³/atom) = 30.90
- total magnetization (Bohr magnetons per cell) = 0.0
- calculated formation energy (meV per atom) = -410

Cell: 3.8498 3.8498 28.8873 Å, 90.00 90.00 120.00°
Space group R-3m (No. 166, hexagonal axes)
Symmetry-distinct sites (fractional):
Ca1 0.0000 0.0000 0.0000
Y1 0.0000 0.0000 0.5000
Pb1 0.0000 0.0000 0.2491



# 6
DFT (PBE) results for crystalline Ce2NpCrN5 at its relaxed geometry.

Results
- DOS at the Fermi energy (states/eV/cell) = 42.6
- calculated volume (Å³/atom) = 13.42
- DFT total energy (eV per cell) = -344.60
- total magnetization (Bohr magnetons per cell) = 23.6

Cell: 3.4555 13.4932 10.3592 Å, 90.00 90.00 90.00°
Space group Cmc2_1 (No. 36)
Symmetry-distinct sites (fractional):
Ce1 0.0000 0.1033 0.0000
Ce2 0.0000 0.1429 0.6132
Np1 0.0000 0.2058 0.3223
Cr1 0.0000 0.4852 0.7683
N1 0.0000 0.0416 0.3449
N2 0.0000 0.2780 0.9646
N3 0.0000 0.3246 0.6915
N4 0.0000 0.3720 0.3135
N5 0.0000 0.4851 0.0938



# 7
DFT (PBE) results for crystalline Ca2BeVCr at its relaxed geometry.

Results
- DOS at the Fermi energy (states/eV/cell) = 20.3
- calculated volume (Å³/atom) = 22.36
- total magnetization (Bohr magnetons per cell) = 0.0
- calculated formation energy (meV per atom) = 1635

Cell: 5.1183 5.1183 4.2678 Å, 90.00 90.00 90.00°
Space group P4/mmm (No. 123)
Symmetry-distinct sites (fractional):
Ca1 0.0000 0.5000 0.0000
Be1 0.0000 0.0000 0.5000
V1 0.5000 0.5000 0.5000
Cr1 0.0000 0.0000 0.0000



# 8
DFT (PBE) results for crystalline TmLu2O at its relaxed geometry.

Results
- DOS at the Fermi energy (states/eV/cell) = 13.6
- calculated volume (Å³/atom) = 21.45
- total magnetization (Bohr magnetons per cell) = 0.0
- energy relative to the lowest polymorph listed for this composition (eV/atom) = 0.0000

Cell: 3.4251 3.4251 25.3333 Å, 90.00 90.00 120.00°
Space group R-3m (No. 166, hexagonal axes)
Symmetry-distinct sites (fractional):
Tm1 0.0000 0.0000 0.0000
Lu1 0.0000 0.0000 0.2201
O1 0.0000 0.0000 0.5000



# 9
DFT (PBE) results for crystalline Co2OsRh at its relaxed geometry.

Results
- DOS at the Fermi energy (states/eV/cell) = 6.7
- calculated volume (Å³/atom) = 13.26
- total magnetization (Bohr magnetons per cell) = 4.7
- calculated formation energy (meV per atom) = 369
- energy relative to the lowest polymorph listed for this composition (eV/atom) = 0.2575

Cell: 2.6783 4.3912 4.5085 Å, 90.00 90.00 90.00°
Space group Pmmm (No. 47)
Symmetry-distinct sites (fractional):
Co1 0.0000 0.0000 0.0000
Co2 0.5000 0.0000 0.5000
Os1 0.0000 0.5000 0.5000
Rh1 0.5000 0.5000 0.0000



# 10
DFT (PBE) results for crystalline RbIn3F at its relaxed geometry.

Results
- DOS at the Fermi energy (states/eV/cell) = 4.6
- calculated volume (Å³/atom) = 61.16
- total magnetization (Bohr magnetons per cell) = 0.0
- energy relative to the lowest polymorph listed for this composition (eV/atom) = 1.0524

Cell: 6.7373 6.7373 6.7373 Å, 90.00 90.00 90.00°
Space group Pm-3m (No. 221)
Symmetry-distinct sites (fractional):
Rb1 0.0000 0.0000 0.0000
In1 0.0000 0.0000 0.5000
F1 0.5000 0.5000 0.5000



# 11
DFT (PBE) results for crystalline La3Y2Co2 at its relaxed geometry.

Results
- DOS at the Fermi energy (states/eV/cell) = 6.8
- calculated volume (Å³/atom) = 27.46
- total magnetization (Bohr magnetons per cell) = 0.0
- calculated formation energy (meV per atom) = -99

Cell: 3.8294 6.4128 8.7197 Å, 100.65 102.60 107.33°
Space group P-1 (No. 2)
Symmetry-distinct sites (fractional):
La1 0.0000 0.0000 0.0000
La2 0.3076 0.1932 0.4214
Y1 0.1323 0.4530 0.8107
Co1 0.4325 0.1135 0.7507



# 12
DFT (PBE) results for crystalline Ce3Ta2P2N4 at its relaxed geometry.

Results
- DOS at the Fermi energy (states/eV/cell) = 22.4
- calculated volume (Å³/atom) = 16.30
- DFT total energy (eV per cell) = -200.53
- total magnetization (Bohr magnetons per cell) = 2.9

Cell: 4.1023 4.1023 21.3052 Å, 90.00 90.00 90.00°
Space group I4/mmm (No. 139)
Symmetry-distinct sites (fractional):
Ce1 0.0000 0.0000 0.0000
Ce2 0.0000 0.0000 0.1659
Ta1 0.0000 0.0000 0.4153
P1 0.0000 0.0000 0.3001
N1 0.0000 0.5000 0.0756



# 13
DFT (PBE) results for crystalline KLi4Pb8 at its relaxed geometry.

Results
- DOS at the Fermi energy (states/eV/cell) = 9.4
- calculated volume (Å³/atom) = 27.72
- total magnetization (Bohr magnetons per cell) = 0.0
- calculated formation energy (meV per atom) = -191

Cell: 10.6723 10.6723 6.3276 Å, 90.00 90.00 90.00°
Space group I4/mmm (No. 139)
Symmetry-distinct sites (fractional):
K1 0.0000 0.0000 0.0000
Li1 0.2500 0.2500 0.2500
Pb1 0.0000 0.2249 0.5000
Pb2 0.0000 0.3460 0.0000